1.
## Hf3ReCl (GGA-PBE)

Data for a relaxed structure of Hf3ReCl.

## Properties
The theoretical density comes out at 12.6 g cm⁻³. The total energy is -8.380 eV per atom. The formation energy (no corrections) is 0.451 eV per atom. As for the space group: Pm-3m.

Cell lengths 4.632, 4.632, 4.632 Å; angles 90.00, 90.00, 90.00 degrees
Each line ends with the local moment (μB).
Sites, in units of the cell vectors:
Hf 0.000 0.000 0.500  -0.05
Hf 0.000 0.500 0.000  -0.04
Hf 0.500 0.000 0.000  -0.04
Cl 0.000 0.000 0.000  0.00
Re 0.500 0.500 0.500  0.46

2.
## Hf3ReCl (GGA-PBE)

Data for a relaxed structure of Hf3ReCl.

## Properties
The theoretical density comes out at 9.4 g cm⁻³. The total energy is -8.243 eV per atom. The formation energy (no corrections) is 0.588 eV per atom. As for the space group: Pm-3m.

Cell lengths 5.111, 5.111, 5.111 Å; angles 90.00, 90.00, 90.00 degrees
Sites, in units of the cell vectors:
Hf 0.500 0.000 0.000
Hf 0.000 0.500 0.000
Hf 0.000 0.000 0.500
Cl 0.500 0.500 0.500
Re 0.000 0.000 0.000

3.
## HfRe3Cl (GGA-PBE)

Data for a relaxed structure of HfRe3Cl.

## Properties
The theoretical density comes out at 15.2 g cm⁻³. The total energy is -8.616 eV per atom. The formation energy (no corrections) is 1.213 eV per atom. As for the space group: Pm-3m.

Cell lengths 4.391, 4.391, 4.391 Å; angles 90.00, 90.00, 90.00 degrees
Sites, in units of the cell vectors:
Re 0.000 0.000 0.500
Re 0.000 0.500 0.000
Re 0.500 0.000 0.000
Cl 0.000 0.000 0.000
Hf 0.500 0.500 0.500

4.
## HfRe2Cl (GGA-PBE)

Data for a relaxed structure of HfRe2Cl.

## Properties
The theoretical density comes out at 14.3 g cm⁻³. The total energy is -8.286 eV per atom. The formation energy (no corrections) is 0.889 eV per atom. As for the space group: I-42d.

Cell lengths 7.336, 7.336, 5.775 Å; angles 50.57, 50.57, 90.00 degrees
Sites, in units of the cell vectors:
Re 0.548 0.125 0.250
Re 0.375 0.452 0.750
Re 0.875 0.798 0.750
Re 0.202 0.625 0.250
Cl 0.500 0.500 0.000
Cl 0.250 0.750 0.500
Hf 0.000 0.000 0.000
Hf 0.750 0.250 0.500

What is the formula in the third record? HfRe3Cl